No. 1
DFT (PBE) results for a geometry-optimized Be2SbWN structure.

## Properties
- electronic total energy (eV per cell) = -19.754
- formation energy (no corrections) (eV/atom) = 2.62
- symmetry = P4/mmm

a b c (Å): 4.262 4.262 5.418
angles (deg): 90.00 90.00 90.00
Sites, in units of the cell vectors:
Be 0.000 0.500 0.000
Be 0.500 0.000 0.000
Sb 0.000 0.000 0.000
W 0.000 0.000 0.500
N 0.500 0.500 0.500



No. 2
DFT (PBE) results for a geometry-optimized MgReRu2 structure.

## Properties
- formation energy from the elements (eV/atom) = 0.085
- electronic total energy (eV per cell) = -96.767
- symmetry = R-3m

a b c (Å): 2.793 2.793 26.773
angles (deg): 90.00 90.00 120.00
Sites, in units of the cell vectors:
Mg 0.000 0.000 0.000
Mg 0.333 0.667 0.667
Mg 0.667 0.333 0.333
Re 0.000 0.000 0.500
Re 0.333 0.667 0.167
Re 0.667 0.333 0.833
Ru 0.000 0.000 0.246
Ru 0.000 0.000 0.754
Ru 0.333 0.667 0.421
Ru 0.333 0.667 0.913
Ru 0.667 0.333 0.087
Ru 0.667 0.333 0.579



No. 3
DFT (PBE) results for a geometry-optimized Pu3As2H structure.

## Properties
- offset from the most stable computed form (eV per atom) = 0.0000
- electronic total energy (eV per cell) = -241.766
- symmetry = Pnma

a b c (Å): 7.865 4.152 15.834
angles (deg): 90.00 90.00 90.00
Sites, in units of the cell vectors:
Pu 0.007 0.250 0.110
Pu 0.128 0.250 0.566
Pu 0.150 0.750 0.280
Pu 0.350 0.250 0.780
Pu 0.372 0.750 0.066
Pu 0.493 0.750 0.610
Pu 0.507 0.250 0.390
Pu 0.628 0.250 0.934
Pu 0.650 0.750 0.220
Pu 0.850 0.250 0.720
Pu 0.872 0.750 0.434
Pu 0.993 0.750 0.890
As 0.128 0.750 0.706
As 0.230 0.250 0.956
As 0.270 0.750 0.456
As 0.372 0.250 0.206
As 0.628 0.750 0.794
As 0.730 0.250 0.544
As 0.770 0.750 0.044
As 0.872 0.250 0.294
H 0.118 0.750 0.136
H 0.382 0.250 0.636
H 0.618 0.750 0.364
H 0.882 0.250 0.864



No. 4
DFT (PBE) results for a geometry-optimized LiPaTcN3 structure.

## Properties
- electronic total energy (eV per cell) = -103.831
- formation energy (no corrections) (eV/atom) = -0.86
- symmetry = P2_1/m

a b c (Å): 5.689 3.304 7.649
angles (deg): 90.00 109.42 90.00
Sites, in units of the cell vectors:
Li 0.092 0.250 0.415
Li 0.908 0.750 0.585
Pa 0.484 0.750 0.735
Pa 0.516 0.250 0.265
Tc 0.028 0.250 0.878
Tc 0.972 0.750 0.122
N 0.204 0.250 0.682
N 0.259 0.750 0.008
N 0.306 0.750 0.368
N 0.694 0.250 0.632
N 0.741 0.250 0.992
N 0.796 0.750 0.318